Here is a relaxed Pm3Pr2NpN6 crystal from the Alexandria database. Energies are from PBE-GGA.

```
data_Pm3Pr2NpN6
_chemical_formula_sum 'Pm3 Pr2 Np1 N6'
_cell_length_a 6.2379
_cell_length_b 6.2379
_cell_length_c 6.2048
_cell_angle_alpha 99.67
_cell_angle_beta 99.67
_cell_angle_gamma 119.97
_space_group_name_H-M_alt 'P 1'
_space_group_IT_number 1
loop_
_space_group_symop_operation_xyz
'x,y,z'
loop_
_atom_site_label
_atom_site_type_symbol
_atom_site_fract_x
_atom_site_fract_y
_atom_site_fract_z
Pm1 Pm 0.0000 0.0000 0.0000
Pm2 Pm 0.3345 0.6655 0.0000
Pm3 Pm 0.6655 0.3345 0.0000
Pr1 Pr 0.1664 0.8336 0.5000
Pr2 Pr 0.8336 0.1664 0.5000
Np1 Np 0.5000 0.5000 0.5000
N1 N 0.1214 0.4218 0.2654
N2 N 0.2766 0.2766 0.7383
N3 N 0.4218 0.1214 0.2654
N4 N 0.5782 0.8786 0.7346
N5 N 0.7234 0.7234 0.2617
N6 N 0.8786 0.5782 0.7346
```

Volume, Å³/atom: 16.42
Total moment, μB/f.u.: 2.30
ΔE_f (raw), meV/atom: -1361.8

---

Here is a relaxed Pm2Pr3NpN6 crystal from the Alexandria database. Energies are from PBE-GGA.

```
data_Pm2Pr3NpN6
_chemical_formula_sum 'Pm2 Pr3 Np1 N6'
_cell_length_a 6.2250
_cell_length_b 6.2250
_cell_length_c 6.2524
_cell_angle_alpha 99.57
_cell_angle_beta 99.57
_cell_angle_gamma 119.92
_space_group_name_H-M_alt 'P 1'
_space_group_IT_number 1
loop_
_space_group_symop_operation_xyz
'x,y,z'
loop_
_atom_site_label
_atom_site_type_symbol
_atom_site_fract_x
_atom_site_fract_y
_atom_site_fract_z
Pm1 Pm 0.1663 0.8337 0.0000
Pm2 Pm 0.8337 0.1663 0.0000
Pr1 Pr 0.0000 0.0000 0.5000
Pr2 Pr 0.3328 0.6672 0.5000
Pr3 Pr 0.6672 0.3328 0.5000
Np1 Np 0.5000 0.5000 0.0000
N1 N 0.1246 0.4258 0.7778
N2 N 0.2722 0.2722 0.2280
N3 N 0.4258 0.1246 0.7778
N4 N 0.5742 0.8754 0.2222
N5 N 0.7278 0.7278 0.7720
N6 N 0.8754 0.5742 0.2222
```

Volume, Å³/atom: 16.50
Total moment, μB/f.u.: 1.93
ΔE_f (raw), meV/atom: -1351.0

---

Here is a relaxed Pm2PrNpN4 crystal from the Alexandria database. Energies are from PBE-GGA.

```
data_Pm2PrNpN4
_chemical_formula_sum 'Pm4 Pr2 Np2 N8'
_cell_length_a 6.8862
_cell_length_b 6.8862
_cell_length_c 11.3001
_cell_angle_alpha 90.00
_cell_angle_beta 90.00
_cell_angle_gamma 150.53
_space_group_name_H-M_alt 'P 1'
_space_group_IT_number 1
loop_
_space_group_symop_operation_xyz
'x,y,z'
loop_
_atom_site_label
_atom_site_type_symbol
_atom_site_fract_x
_atom_site_fract_y
_atom_site_fract_z
Pm1 Pm 0.1273 0.8727 0.5144
Pm2 Pm 0.1273 0.8727 0.9856
Pm3 Pm 0.8727 0.1273 0.0144
Pm4 Pm 0.8727 0.1273 0.4856
Pr1 Pr 0.2696 0.7304 0.2500
Pr2 Pr 0.7304 0.2696 0.7500
Np1 Np 0.4613 0.5387 0.7500
Np2 Np 0.5387 0.4613 0.2500
N1 N 0.0693 0.9307 0.7500
N2 N 0.2996 0.7004 0.6171
N3 N 0.2996 0.7004 0.8829
N4 N 0.5000 0.5000 0.0000
N5 N 0.5000 0.5000 0.5000
N6 N 0.7004 0.2996 0.1171
N7 N 0.7004 0.2996 0.3829
N8 N 0.9307 0.0693 0.2500
```

Volume, Å³/atom: 16.48
Total moment, μB/f.u.: 3.93
ΔE_f (raw), meV/atom: -1079.9

---

Which formula does entry 2 have?
Pm2Pr3NpN6

---

What is the ΔE_f (raw) in the third record?
-1079.9 meV/atom

---

What is the volume in the third record?
16.48 Å³/atom

---

Which of these has the highest ΔE_f (raw)?
Pm2PrNpN4